Record 1
Computed, not measured: a PBEsol-optimized structure of La3TlF at the SCAN level of DFT.

Unit cell a=5.0536 b=5.0536 c=5.0536 alpha=90.00 beta=90.00 gamma=90.00
With the nearest neighbours (Å) after each atom.
Sites, in units of the cell vectors:
1 La 0.0000 0.5000 0.0000  2 F 2.53
2 Tl 0.5000 0.5000 0.5000  12 La 3.57
3 F 0.0000 0.0000 0.0000  6 La 2.53
4 La 0.5000 0.0000 0.0000  2 F 2.53
5 La 0.0000 0.0000 0.5000  2 F 2.53

Output
* energy above the lowest structure with this stoichiometry: 0.000 eV per atom
* formation energy from raw total energies: -1.33 eV per atom


Record 2
Computed, not measured: a PBEsol-optimized structure of Mg2TaZn at the SCAN level of DFT.

Unit cell a=4.6299 b=4.6299 c=4.6299 alpha=60.00 beta=60.00 gamma=60.00
With the nearest neighbours (Å) after each atom.
Sites, in units of the cell vectors:
1 Mg 0.7500 0.7500 0.7500  4 Ta 2.84, 4 Mg 2.84
2 Zn 0.2500 0.2500 0.2500  4 Ta 2.84, 4 Mg 2.84
3 Ta 0.5000 0.5000 0.5000  4 Zn 2.84, 4 Mg 2.84
4 Mg 0.0000 0.0000 0.0000  4 Mg 2.84, 4 Zn 2.84

Output
* formation energy: 0.382 eV/atom


Record 3
Computed, not measured: a PBEsol-optimized structure of CdBi2Rh2 at the SCAN level of DFT.

Unit cell a=3.9362 b=3.9362 c=8.1408 alpha=103.99 beta=103.99 gamma=90.00
With the nearest neighbours (Å) after each atom.
Sites, in units of the cell vectors:
1 Bi 0.6310 0.6310 0.2621  4 Rh 2.68
2 Cd 0.0000 0.0000 0.0000  8 Bi 3.43
3 Rh 0.7500 0.2500 0.5000  4 Bi 2.68, 4 Rh 2.78
4 Rh 0.2500 0.7500 0.5000  4 Bi 2.68, 4 Rh 2.78
5 Bi 0.3690 0.3690 0.7379  4 Rh 2.68

Output
* formation energy: 0.064 eV/atom


Record 4
Computed, not measured: a PBEsol-optimized structure of Fe2AuSe at the SCAN level of DFT.

Unit cell a=3.7414 b=3.7414 c=4.9450 alpha=112.23 beta=112.23 gamma=90.00
With the nearest neighbours (Å) after each atom.
Sites, in units of the cell vectors:
1 Fe 0.0000 0.0000 0.0000  4 Se 2.65, 4 Fe 2.80, 4 Au 2.80
2 Fe 0.7500 0.2500 0.5000  4 Au 2.65, 4 Se 2.80, 4 Fe 2.80
3 Au 0.2500 0.7500 0.5000  8 Fe 2.65-2.80, 4 Se 2.80
4 Se 0.5000 0.5000 0.0000  8 Fe 2.65-2.80, 4 Au 2.80

Output
* formation energy from raw total energies: 0.26 eV per atom


Record 5
Computed, not measured: a PBEsol-optimized structure of ReOsCl2 at the SCAN level of DFT.

Unit cell a=3.0462 b=4.2851 c=4.2851 alpha=90.00 beta=90.00 gamma=90.00
With the nearest neighbours (Å) after each atom.
Sites, in units of the cell vectors:
1 Re 0.5000 0.0000 0.0000  8 Cl 2.63
2 Cl 0.0000 0.5000 0.0000  4 Re 2.63, 4 Os 2.63
3 Cl 0.0000 0.0000 0.5000  4 Re 2.63, 4 Os 2.63
4 Os 0.5000 0.5000 0.5000  8 Cl 2.63

Output
* energy above the lowest structure with this stoichiometry: 1.566 eV per atom
* formation energy from raw total energies: 1.98 eV per atom


Record 6
Computed, not measured: a PBEsol-optimized structure of KLi3Ge at the SCAN level of DFT.

Unit cell a=5.0118 b=5.0118 c=5.0118 alpha=90.00 beta=90.00 gamma=90.00
With the nearest neighbours (Å) after each atom.
Sites, in units of the cell vectors:
1 Li 0.0000 0.5000 0.0000  2 Ge 2.51
2 K 0.5000 0.5000 0.5000  12 Li 3.54
3 Ge 0.0000 0.0000 0.0000  6 Li 2.51
4 Li 0.0000 0.0000 0.5000  2 Ge 2.51
5 Li 0.5000 0.0000 0.0000  2 Ge 2.51

Output
* formation energy: -0.220 eV/atom


Record 7
Computed, not measured: a PBEsol-optimized structure of ZrIn2Hg at the SCAN level of DFT.

Unit cell a=3.1686 b=5.4084 c=5.4084 alpha=110.10 beta=90.00 gamma=90.00
With the nearest neighbours (Å) after each atom.
Sites, in units of the cell vectors:
1 Zr 0.5000 0.0000 0.0000  2 Hg 3.10, 8 In 3.13, 2 Zr 3.17
2 Hg 0.5000 0.5000 0.5000  2 Zr 3.10, 8 In 3.13, 2 Hg 3.17
3 In 0.0000 0.5000 0.0000  4 In 3.10-3.17, 4 Hg 3.13, 4 Zr 3.13
4 In 0.0000 0.0000 0.5000  4 In 3.10-3.17, 4 Zr 3.13, 4 Hg 3.13

Output
* formation energy: -0.250 eV/atom


Record 8
Computed, not measured: a PBEsol-optimized structure of MgIn3 at the SCAN level of DFT.

Unit cell a=5.8179 b=5.8179 c=5.8179 alpha=90.00 beta=90.00 gamma=90.00
With the nearest neighbours (Å) after each atom.
Sites, in units of the cell vectors:
1 In 0.5000 0.0000 0.7500  2 In 2.91, 4 Mg 3.25
2 In 0.0000 0.2500 0.5000  2 In 2.91, 4 Mg 3.25
3 Mg 0.0000 0.0000 0.0000  12 In 3.25
4 Mg 0.5000 0.5000 0.5000  12 In 3.25
5 In 0.2500 0.5000 0.0000  2 In 2.91, 4 Mg 3.25
6 In 0.5000 0.0000 0.2500  2 In 2.91, 4 Mg 3.25
7 In 0.7500 0.5000 0.0000  2 In 2.91, 4 Mg 3.25
8 In 0.0000 0.7500 0.5000  2 In 2.91, 4 Mg 3.25

Output
* formation energy: -0.008 eV/atom


Record 9
Computed, not measured: a PBEsol-optimized structure of RbBaI2O at the SCAN level of DFT.

Unit cell a=4.5027 b=6.8245 c=6.8245 alpha=90.00 beta=90.00 gamma=90.00
With the nearest neighbours (Å) after each atom.
Sites, in units of the cell vectors:
1 Ba 0.0000 0.0000 0.0000  2 O 2.25
2 O 0.5000 0.0000 0.0000  2 Ba 2.25
3 Rb 0.5000 0.5000 0.5000  8 I 4.09, 2 Rb 4.50
4 I 0.0000 0.5000 0.0000  2 Ba 3.41
5 I 0.0000 0.0000 0.5000  2 Ba 3.41

Output
* formation energy from raw total energies: -1.49 eV per atom


Record 10
Computed, not measured: a PBEsol-optimized structure of Li2GaPb2 at the SCAN level of DFT.

Unit cell a=4.3205 b=6.9585 c=6.9585 alpha=90.00 beta=90.00 gamma=90.00
With the nearest neighbours (Å) after each atom.
Sites, in units of the cell vectors:
1 Pb 0.5000 0.1697 0.6697  6 Li 2.86-3.06
2 Pb 0.5000 0.8303 0.3303  6 Li 2.86-3.06
3 Li 0.0000 0.3606 0.8606  2 Ga 2.69, 1 Li 2.74, 2 Pb 2.86
4 Pb 0.5000 0.6697 0.8303  6 Li 2.86-3.06
5 Ga 0.0000 0.0000 0.0000  4 Li 2.69
6 Pb 0.5000 0.3303 0.1697  6 Li 2.86-3.06
7 Li 0.0000 0.8606 0.6394  2 Ga 2.69, 1 Li 2.74, 2 Pb 2.86
8 Li 0.0000 0.6394 0.1394  2 Ga 2.69, 1 Li 2.74, 2 Pb 2.86
9 Li 0.0000 0.1394 0.3606  2 Ga 2.69, 1 Li 2.74, 2 Pb 2.86
10 Ga 0.0000 0.5000 0.5000  4 Li 2.69

Output
* formation energy: -0.203 eV/atom


Record 11
Computed, not measured: a PBEsol-optimized structure of Tl3FeI at the SCAN level of DFT.

Unit cell a=6.1911 b=6.1911 c=6.1911 alpha=90.00 beta=90.00 gamma=90.00
With the nearest neighbours (Å) after each atom.
Sites, in units of the cell vectors:
1 Tl 0.0000 0.5000 0.0000  2 I 3.10
2 I 0.0000 0.0000 0.0000  6 Tl 3.10
3 Tl 0.5000 0.0000 0.0000  2 I 3.10
4 Fe 0.5000 0.5000 0.5000  12 Tl 4.38
5 Tl 0.0000 0.0000 0.5000  2 I 3.10

Output
* formation energy from raw total energies: 1.02 eV per atom


Record 12
Computed, not measured: a PBEsol-optimized structure of ScReRu at the SCAN level of DFT.

Unit cell a=2.8987 b=2.8987 c=6.0875 alpha=103.77 beta=103.77 gamma=90.00
With the nearest neighbours (Å) after each atom.
Sites, in units of the cell vectors:
1 Re 0.0183 0.0183 0.0365  4 Ru 2.55
2 Sc 0.3307 0.3307 0.6614  4 Sc 2.90, 4 Ru 2.91, 4 Re 2.97
3 Ru 0.6510 0.6510 0.3021  4 Re 2.55

Output
* energy above the lowest structure with this stoichiometry: 0.000 eV per atom
* formation energy: -0.163 eV/atom


Copy entry 12 word for word.
Computed, not measured: a PBEsol-optimized structure of ScReRu at the SCAN level of DFT.

Unit cell a=2.8987 b=2.8987 c=6.0875 alpha=103.77 beta=103.77 gamma=90.00
With the nearest neighbours (Å) after each atom.
Sites, in units of the cell vectors:
1 Re 0.0183 0.0183 0.0365  4 Ru 2.55
2 Sc 0.3307 0.3307 0.6614  4 Sc 2.90, 4 Ru 2.91, 4 Re 2.97
3 Ru 0.6510 0.6510 0.3021  4 Re 2.55

Output
* energy above the lowest structure with this stoichiometry: 0.000 eV per atom
* formation energy: -0.163 eV/atom


Which formula does entry 4 have? Fe2AuSe